BaLaEuIn | GGA-PBE | relaxed

Computed properties:
- calculated formation energy (kJ per mole of atoms) = -11
- size of the total moment (μB/f.u.) = 7.30

Cell lengths 5.947, 5.947, 5.947 Å; angles 60.00, 60.00, 60.00 degrees
Fractional coordinates of all 4 atoms:
In  0.500  0.500  0.500
Eu  0.000  0.000  0.000
Ba  0.750  0.750  0.750
La  0.250  0.250  0.250

=====

DyTmNiGe | GGA-PBE | relaxed

Computed properties:
- calculated formation energy (kJ per mole of atoms) = -54
- size of the total moment (μB/f.u.) = 0.00

Cell lengths 4.889, 4.889, 4.889 Å; angles 60.00, 60.00, 60.00 degrees
Fractional coordinates of all 4 atoms:
Dy  0.500  0.500  0.500
Ni  0.250  0.250  0.250
Ge  0.750  0.750  0.750
Tm  0.000  0.000  0.000

=====

Ho3Be2GaPd9 | GGA-PBE | relaxed

Computed properties:
- calculated formation energy (kJ per mole of atoms) = -66
- size of the total moment (μB/f.u.) = 0.00

Cell lengths 5.859, 5.859, 9.057 Å; angles 90.00, 90.00, 120.00 degrees
Fractional coordinates of all 15 atoms:
Pd  0.678  0.839  0.290
Pd  0.000  0.500  0.000
Pd  0.322  0.161  0.710
Pd  0.161  0.839  0.290
Be  0.667  0.333  0.848
Ho  0.333  0.667  0.690
Ho  0.667  0.333  0.310
Pd  0.839  0.678  0.710
Be  0.333  0.667  0.152
Pd  0.161  0.322  0.290
Pd  0.500  0.500  0.000
Pd  0.500  0.000  0.000
Pd  0.839  0.161  0.710
Ga  0.000  0.000  0.500
Ho  0.000  0.000  0.000

=====

InSbW | GGA-PBE | relaxed

Computed properties:
- formation energy (no corrections) (eV per formula unit) = 1.89
- size of the total moment (μB/f.u.) = 0.00

Cell lengths 8.556, 8.353, 3.011 Å; angles 83.57, 75.96, 20.47 degrees
Fractional coordinates of all 3 atoms:
W  0.672  0.672  0.328
In  0.021  0.021  0.979
Sb  0.307  0.307  0.693

=====

Pm8Sm5Dy | GGA-PBE | relaxed

Computed properties:
- calculated formation energy (kJ per mole of atoms) = 23
- size of the total moment (μB/f.u.) = 0.00

Cell lengths 8.592, 8.592, 8.592 Å; angles 110.91, 106.64, 110.91 degrees
Fractional coordinates of all 14 atoms:
Pm  0.170  0.735  0.073
Sm  0.500  0.000  0.500
Pm  0.730  0.256  0.334
Pm  0.078  0.744  0.473
Pm  0.339  0.265  0.435
Pm  0.527  0.604  0.270
Sm  0.818  0.684  0.717
Dy  0.250  0.500  0.750
Pm  0.927  0.096  0.661
Pm  0.565  0.904  0.830
Sm  0.032  0.316  0.134
Sm  0.866  0.899  0.182
Pm  0.666  0.396  0.922
Sm  0.283  0.101  0.968

=====

CaLa4H10 | GGA-PBE | relaxed

Computed properties:
- raw total energy (eV per atom) = -4.310
- size of the total moment (μB/f.u.) = 0.00

Cell lengths 3.958, 3.958, 16.355 Å; angles 83.05, 83.05, 60.00 degrees
Fractional coordinates of all 15 atoms:
La  0.200  0.200  0.399
La  0.601  0.601  0.198
H  0.049  0.049  0.854
Ca  0.000  0.000  0.000
La  0.399  0.399  0.802
H  0.850  0.850  0.451
H  0.550  0.550  0.349
H  0.749  0.749  0.752
H  0.350  0.350  0.951
H  0.251  0.251  0.248
H  0.150  0.150  0.549
H  0.450  0.450  0.651
La  0.800  0.800  0.601
H  0.650  0.650  0.049
H  0.951  0.951  0.146

=====

Mn5V6Co | GGA-PBE | relaxed

Computed properties:
- calculated formation energy (kJ per mole of atoms) = -23
- size of the total moment (μB/f.u.) = 1.44

Cell lengths 4.078, 5.758, 7.031 Å; angles 114.17, 106.86, 90.00 degrees
Fractional coordinates of all 12 atoms:
V  0.168  0.916  0.336
Mn  0.333  0.333  0.666
V  0.500  0.253  0.000
V  0.832  0.084  0.664
Mn  0.000  0.500  0.000
V  0.832  0.581  0.664
Mn  0.335  0.835  0.670
V  0.168  0.419  0.336
Mn  0.665  0.165  0.330
V  0.500  0.747  0.000
Co  0.000  0.000  0.000
Mn  0.667  0.667  0.334

=====

CuAs2F2 | GGA-PBE | relaxed

Computed properties:
- formation energy (no corrections) (eV per formula unit) = -0.95
- size of the total moment (μB/f.u.) = 0.00

Cell lengths 3.560, 3.560, 6.955 Å; angles 75.17, 75.17, 90.00 degrees
Fractional coordinates of all 5 atoms:
F  0.596  0.596  0.808
As  0.750  0.250  0.500
F  0.404  0.404  0.192
As  0.250  0.750  0.500
Cu  0.000  0.000  0.000

=====

TiZnCrPt | GGA-PBE | relaxed

Computed properties:
- calculated formation energy (kJ per mole of atoms) = -35
- size of the total moment (μB/f.u.) = 2.27

Cell lengths 4.349, 4.349, 4.349 Å; angles 60.00, 60.00, 60.00 degrees
Fractional coordinates of all 4 atoms:
Ti  0.000  0.000  0.000
Zn  0.500  0.500  0.500
Pt  0.750  0.750  0.750
Cr  0.250  0.250  0.250

=====

Ac2GaAs | GGA-PBE | relaxed

Computed properties:
- calculated formation energy (kJ per mole of atoms) = -81
- size of the total moment (μB/f.u.) = 0.00

Cell lengths 4.422, 4.422, 8.510 Å; angles 74.94, 74.94, 60.00 degrees
Fractional coordinates of all 4 atoms:
Ac  0.743  0.743  0.770
Ac  0.257  0.257  0.230
As  0.000  0.000  0.000
Ga  0.500  0.500  0.500

=====

Tm2ScCdO | GGA-PBE | relaxed

Computed properties:
- formation energy (no corrections) (eV per formula unit) = -6.71
- size of the total moment (μB/f.u.) = 0.00

Cell lengths 4.511, 4.686, 4.686 Å; angles 90.00, 90.00, 90.00 degrees
Fractional coordinates of all 5 atoms:
Tm  0.000  0.500  0.000
Sc  0.500  0.000  0.000
Cd  0.500  0.500  0.500
Tm  0.000  0.000  0.500
O  0.000  0.000  0.000

=====

Pu3Zn2Pd6 | GGA-PBE | relaxed

Computed properties:
- calculated formation energy (kJ per mole of atoms) = -48
- size of the total moment (μB/f.u.) = 17.18

Cell lengths 8.180, 8.180, 8.180 Å; angles 109.47, 109.47, 109.47 degrees
Fractional coordinates of all 22 atoms:
Pd  0.659  0.341  0.000
Zn  0.500  0.000  0.000
Pd  0.000  0.659  0.341
Pd  0.317  0.659  0.659
Pd  0.659  0.000  0.341
Pu  0.000  0.722  0.722
Pu  0.000  0.278  0.278
Pd  0.000  0.341  0.659
Zn  0.000  0.500  0.000
Pu  0.722  0.000  0.722
Pd  0.341  0.000  0.659
Zn  0.500  0.500  0.500
Pd  0.683  0.341  0.341
Pd  0.341  0.341  0.683
Pu  0.278  0.000  0.278
Zn  0.000  0.000  0.500
Pu  0.722  0.722  0.000
Pd  0.341  0.659  0.000
Pd  0.341  0.683  0.341
Pd  0.659  0.317  0.659
Pu  0.278  0.278  0.000
Pd  0.659  0.659  0.317